Compound: CaPrAlTl
Source: the Alexandria database
Functional: GGA-PBE
Structure: optimized geometry

Output
Total energy, eV/cell: -56.5
DFT formation energy, meV/atom: -310

Cell lengths 7.662, 7.662, 7.662 Å; angles 90.00, 90.00, 90.00 degrees
Space group F-43m (No. 216)
Symmetry-distinct sites (fractional):
Ca1 0.000 0.000 0.000 (multiplicity 4)
Pr1 0.000 0.000 0.500 (multiplicity 4)
Al1 0.250 0.250 0.750 (multiplicity 4)
Tl1 0.250 0.250 0.250 (multiplicity 4)

Compound: CaPrYAl
Source: the Alexandria database
Functional: GGA-PBE
Structure: optimized geometry

Output
Total energy, eV/cell: -69.3
DFT formation energy, meV/atom: -81

Cell lengths 7.749, 7.749, 7.749 Å; angles 90.00, 90.00, 90.00 degrees
Space group F-43m (No. 216)
Symmetry-distinct sites (fractional):
Ca1 0.000 0.000 0.000 (multiplicity 4)
Pr1 0.250 0.250 0.250 (multiplicity 4)
Y1 0.250 0.250 0.750 (multiplicity 4)
Al1 0.000 0.000 0.500 (multiplicity 4)

Question: Look up the DFT formation energy of the second one.
Answer: -81 meV/atom

Question: Which formula does entry 2 have?
Answer: CaPrYAl

Question: What is the DFT formation energy in the first record?
Answer: -310 meV/atom